Record 1
{
  "formula": "RbOsPd3",
  "functional": "GGA-PBEsol",
  "state": "relaxed",
  "space_group": "Pm-3m",
  "total_energy_ev_per_cell": -26.1,
  "m_tot_mub_per_cell": 0.00,
  "lattice_angstrom": [[4.870, 0.000, 0.000], [0.000, 4.870, 0.000], [0.000, 0.000, 4.870]],
  "species": ["Pd", "Pd", "Pd", "Os", "Rb"],
  "fractional_positions": [[0.000, 0.000, 0.500], [0.000, 0.500, 0.000], [0.500, 0.000, 0.000], [0.000, 0.000, 0.000], [0.500, 0.500, 0.500]]
}

Record 2
{
  "formula": "AlInMo",
  "functional": "GGA-PBEsol",
  "state": "relaxed",
  "space_group": "F-43m",
  "total_energy_ev_per_cell": -16.9,
  "m_tot_mub_per_cell": 1.66,
  "lattice_angstrom": [[4.447, 0.000, 0.000], [2.223, 3.851, 0.000], [2.223, 1.284, 3.631]],
  "species": ["Mo", "In", "Al"],
  "fractional_positions": [[0.250, 0.250, 0.250], [0.500, 0.500, 0.500], [0.000, 0.000, 0.000]]
}

Record 3
{
  "formula": "Cu2PPb",
  "functional": "GGA-PBEsol",
  "state": "relaxed",
  "space_group": "I4/mmm",
  "total_energy_ev_per_cell": -16.9,
  "m_tot_mub_per_cell": 0.00,
  "lattice_angstrom": [[4.281, 0.000, 0.000], [-2.140, 4.181, 0.071], [0.000, 2.129, 3.714]],
  "species": ["Cu", "Cu", "P", "Pb"],
  "fractional_positions": [[0.250, 0.500, 0.250], [0.750, 0.500, 0.750], [0.500, 0.000, 0.500], [0.000, 0.000, 0.000]]
}